(1)
KCuBiI6: optimized geometry, GGA-PBE.

- calculated density (kg/m³) = 4368
- raw formation energy (meV/atom) = -511
- DFT total energy (eV per cell) = -23.0

Cell and atoms, written as CIF:
```
data_KCuBiI6
_chemical_formula_sum 'K1 Cu1 Bi1 I6'
_space_group_name_H-M_alt 'P 1'
_space_group_IT_number 1
_space_group_name_Hall 'P 1'
_cell_length_a 7.527
_cell_length_b 7.564
_cell_length_c 7.865
_cell_angle_alpha 93.95
_cell_angle_beta 94.46
_cell_angle_gamma 113.18
loop_
_atom_site_label
_atom_site_type_symbol
_atom_site_fract_x
_atom_site_fract_y
_atom_site_fract_z
_atom_site_occupancy
K1 K 0.000 0.000 0.000 1
Cu1 Cu 0.744 0.363 0.448 1
Bi1 Bi 0.368 0.676 0.507 1
I1 I 0.011 0.611 0.246 1
I2 I 0.040 0.345 0.658 1
I3 I 0.400 0.977 0.787 1
I4 I 0.445 0.378 0.245 1
I5 I 0.651 0.998 0.308 1
I6 I 0.681 0.575 0.709 1
```



(2)
LiCuBi2I: optimized geometry, GGA-PBE.

- calculated density (kg/m³) = 7688
- raw formation energy (meV/atom) = 424
- DFT total energy (eV per cell) = -13.2

Cell and atoms, written as CIF:
```
data_LiCuBi2I
_chemical_formula_sum 'Li1 Cu1 Bi2 I1'
_space_group_name_H-M_alt 'P 4/m m m'
_space_group_IT_number 123
_space_group_name_Hall '-P 4 2'
_cell_length_a 5.425
_cell_length_b 5.425
_cell_length_c 4.515
_cell_angle_alpha 90.00
_cell_angle_beta 90.00
_cell_angle_gamma 90.00
loop_
_atom_site_label
_atom_site_type_symbol
_atom_site_fract_x
_atom_site_fract_y
_atom_site_fract_z
_atom_site_occupancy
Li1 Li 0.000 0.000 0.000 1
Cu1 Cu 0.000 0.000 0.500 1
Bi1 Bi 0.000 0.500 0.000 1
I1 I 0.500 0.500 0.500 1
```



(3)
CuBiIO6: optimized geometry, GGA-PBE.

- calculated density (kg/m³) = 6826
- raw formation energy (meV/atom) = -599
- DFT total energy (eV per cell) = -89.3

Cell and atoms, written as CIF:
```
data_CuBiIO6
_chemical_formula_sum 'Cu2 Bi2 I2 O12'
_space_group_name_H-M_alt 'P -3 1 c'
_space_group_IT_number 163
_space_group_name_Hall '-P 3 2c'
_cell_length_a 5.2946
_cell_length_b 5.2946
_cell_length_c 9.9289
_cell_angle_alpha 90.00
_cell_angle_beta 90.00
_cell_angle_gamma 120.00
loop_
_atom_site_label
_atom_site_type_symbol
_atom_site_fract_x
_atom_site_fract_y
_atom_site_fract_z
_atom_site_occupancy
Cu1 Cu 0.3333 0.6667 0.2500 1
Bi1 Bi 0.0000 0.0000 0.0000 1
I1 I 0.3333 0.6667 0.7500 1
O1 O 0.0229 0.3786 0.6408 1
```



(4)
CuBi2IO6: optimized geometry, GGA-PBE.

- calculated density (kg/m³) = 6721
- raw formation energy (meV/atom) = -721
- DFT total energy (eV per cell) = -50.4

Cell and atoms, written as CIF:
```
data_CuBi2IO6
_chemical_formula_sum 'Cu1 Bi2 I1 O6'
_space_group_name_H-M_alt 'P 1'
_space_group_IT_number 1
_space_group_name_Hall 'P 1'
_cell_length_a 5.642
_cell_length_b 5.653
_cell_length_c 6.934
_cell_angle_alpha 88.77
_cell_angle_beta 66.21
_cell_angle_gamma 61.61
loop_
_atom_site_label
_atom_site_type_symbol
_atom_site_fract_x
_atom_site_fract_y
_atom_site_fract_z
_atom_site_occupancy
Cu1 Cu 0.000 0.000 0.000 1
Bi1 Bi 0.393 0.261 0.842 1
Bi2 Bi 0.476 0.735 0.216 1
I1 I 0.862 0.547 0.620 1
O1 O 0.258 0.458 0.512 1
O2 O 0.322 0.647 0.976 1
O3 O 0.609 0.005 0.033 1
O4 O 0.756 0.727 0.417 1
O5 O 0.907 0.376 0.992 1
O6 O 0.909 0.211 0.545 1
```



(5)
Cu3BiSe2IO8: optimized geometry, GGA-PBE.

- calculated density (kg/m³) = 5669
- raw formation energy (meV/atom) = -746
- DFT total energy (eV per cell) = -151.1

Cell and atoms, written as CIF:
```
data_Cu3BiSe2IO8
_chemical_formula_sum 'Cu6 Bi2 Se4 I2 O16'
_space_group_name_H-M_alt 'P m m n'
_space_group_IT_number 59
_cell_length_a 6.471
_cell_length_b 9.856
_cell_length_c 7.463
_cell_angle_alpha 90.00
_cell_angle_beta 90.00
_cell_angle_gamma 90.00
loop_
_space_group_symop_operation_xyz
'x,y,z'
'-x,-y,-z'
'-x+1/2,-y+1/2,z'
'x+1/2,y+1/2,-z'
'x+1/2,-y,-z'
'-x+1/2,y,z'
'-x,y+1/2,-z'
'x,-y+1/2,z'
loop_
_atom_site_label
_atom_site_type_symbol
_atom_site_fract_x
_atom_site_fract_y
_atom_site_fract_z
_atom_site_occupancy
Cu1 Cu 0.000 0.000 0.000 1
Cu2 Cu 0.250 0.250 0.204 1
Bi1 Bi 0.250 0.250 0.759 1
Se1 Se 0.250 0.556 0.384 1
I1 I 0.250 0.750 0.828 1
O1 O 0.040 0.585 0.241 1
O2 O 0.250 0.114 0.007 1
O3 O 0.250 0.117 0.406 1
```



(6)
CuBi2PI: optimized geometry, GGA-PBE.

- calculated density (kg/m³) = 7815
- raw formation energy (meV/atom) = 386
- DFT total energy (eV per cell) = -16.9

Cell and atoms, written as CIF:
```
data_CuBi2PI
_chemical_formula_sum 'Cu1 Bi2 P1 I1'
_space_group_name_H-M_alt 'P 4/m m m'
_space_group_IT_number 123
_space_group_name_Hall '-P 4 2'
_cell_length_a 5.664
_cell_length_b 5.664
_cell_length_c 4.234
_cell_angle_alpha 90.00
_cell_angle_beta 90.00
_cell_angle_gamma 90.00
loop_
_atom_site_label
_atom_site_type_symbol
_atom_site_fract_x
_atom_site_fract_y
_atom_site_fract_z
_atom_site_occupancy
Cu1 Cu 0.000 0.000 0.000 1
Bi1 Bi 0.000 0.500 0.000 1
P1 P 0.000 0.000 0.500 1
I1 I 0.500 0.500 0.500 1
```



(7)
Rb2CuBiI6: optimized geometry, GGA-PBE.

- calculated density (kg/m³) = 4740
- raw formation energy (meV/atom) = -751
- DFT total energy (eV per cell) = -106.9

Cell and atoms, written as CIF:
```
data_Rb2CuBiI6
_chemical_formula_sum 'Rb8 Cu4 Bi4 I24'
_space_group_name_H-M_alt 'F m -3 m'
_space_group_IT_number 225
_space_group_name_Hall '-F 4 2 3'
_cell_length_a 11.907
_cell_length_b 11.907
_cell_length_c 11.907
_cell_angle_alpha 90.00
_cell_angle_beta 90.00
_cell_angle_gamma 90.00
loop_
_atom_site_label
_atom_site_type_symbol
_atom_site_fract_x
_atom_site_fract_y
_atom_site_fract_z
_atom_site_occupancy
Rb1 Rb 0.250 0.250 0.250 1
Cu1 Cu 0.000 0.000 0.000 1
Bi1 Bi 0.000 0.000 0.500 1
I1 I 0.000 0.000 0.240 1
```



(8)
RbCu2BiI6: optimized geometry, GGA-PBE.

- calculated density (kg/m³) = 4834
- raw formation energy (meV/atom) = -493
- DFT total energy (eV per cell) = -109.1

Cell and atoms, written as CIF:
```
data_RbCu2BiI6
_chemical_formula_sum 'Rb4 Cu8 Bi4 I24'
_space_group_name_H-M_alt 'C 1 2/c 1'
_space_group_IT_number 15
_space_group_name_Hall '-C 2yc'
_cell_length_a 14.232
_cell_length_b 14.633
_cell_length_c 7.856
_cell_angle_alpha 90.00
_cell_angle_beta 96.50
_cell_angle_gamma 90.00
loop_
_atom_site_label
_atom_site_type_symbol
_atom_site_fract_x
_atom_site_fract_y
_atom_site_fract_z
_atom_site_occupancy
Rb1 Rb 0.000 0.084 0.250 1
Cu1 Cu 0.175 0.421 0.293 1
Bi1 Bi 0.000 0.283 0.750 1
I1 I 0.119 0.281 0.105 1
I2 I 0.135 0.121 0.662 1
I3 I 0.142 0.428 0.616 1
```



(9)
Rb3Cu2BiI9: optimized geometry, GGA-PBE.

- calculated density (kg/m³) = 4794
- raw formation energy (meV/atom) = -697
- DFT total energy (eV per cell) = -39.4

Cell and atoms, written as CIF:
```
data_Rb3Cu2BiI9
_chemical_formula_sum 'Rb3 Cu2 Bi1 I9'
_space_group_name_H-M_alt 'P -3 m 1'
_space_group_IT_number 164
_space_group_name_Hall '-P 3 2"'
_cell_length_a 8.2433
_cell_length_b 8.2433
_cell_length_c 10.2098
_cell_angle_alpha 90.00
_cell_angle_beta 90.00
_cell_angle_gamma 120.00
loop_
_atom_site_label
_atom_site_type_symbol
_atom_site_fract_x
_atom_site_fract_y
_atom_site_fract_z
_atom_site_occupancy
Rb1 Rb 0.0000 0.0000 0.0000 1
Rb2 Rb 0.3333 0.6667 0.6813 1
Cu1 Cu 0.3333 0.6667 0.1420 1
Bi1 Bi 0.0000 0.0000 0.5000 1
I1 I 0.0000 0.5000 0.0000 1
I2 I 0.1740 0.3479 0.3216 1
```



(10)
RbCuBiI5: optimized geometry, GGA-PBE.

- calculated density (kg/m³) = 4602
- raw formation energy (meV/atom) = -621
- DFT total energy (eV per cell) = -86.6

Cell and atoms, written as CIF:
```
data_RbCuBiI5
_chemical_formula_sum 'Rb4 Cu4 Bi4 I20'
_space_group_name_H-M_alt 'C 1 2/c 1'
_space_group_IT_number 15
_space_group_name_Hall '-C 2yc'
_cell_length_a 10.170
_cell_length_b 13.516
_cell_length_c 11.383
_cell_angle_alpha 90.00
_cell_angle_beta 113.72
_cell_angle_gamma 90.00
loop_
_atom_site_label
_atom_site_type_symbol
_atom_site_fract_x
_atom_site_fract_y
_atom_site_fract_z
_atom_site_occupancy
Rb1 Rb 0.000 0.138 0.250 1
Cu1 Cu 0.000 0.195 0.750 1
Bi1 Bi 0.000 0.500 0.000 1
I1 I 0.000 0.410 0.250 1
I2 I 0.115 0.291 0.617 1
I3 I 0.187 0.079 0.931 1
```



(11)
Cu2BiRuI: optimized geometry, GGA-PBE.

- calculated density (kg/m³) = 6018
- raw formation energy (meV/atom) = 1429
- DFT total energy (eV per cell) = -15.8

Cell and atoms, written as CIF:
```
data_Cu2BiRuI
_chemical_formula_sum 'Cu2 Bi1 Ru1 I1'
_space_group_name_H-M_alt 'P 4/m m m'
_space_group_IT_number 123
_space_group_name_Hall '-P 4 2'
_cell_length_a 4.877
_cell_length_b 4.877
_cell_length_c 6.544
_cell_angle_alpha 90.00
_cell_angle_beta 90.00
_cell_angle_gamma 90.00
loop_
_atom_site_label
_atom_site_type_symbol
_atom_site_fract_x
_atom_site_fract_y
_atom_site_fract_z
_atom_site_occupancy
Cu1 Cu 0.000 0.500 0.000 1
Bi1 Bi 0.000 0.000 0.000 1
Ru1 Ru 0.500 0.500 0.500 1
I1 I 0.000 0.000 0.500 1
```



(12)
CuBiS2I: optimized geometry, GGA-PBE.

- calculated density (kg/m³) = 4995
- raw formation energy (meV/atom) = -235
- DFT total energy (eV per cell) = -37.9

Cell and atoms, written as CIF:
```
data_CuBiS2I
_chemical_formula_sum 'Cu2 Bi2 S4 I2'
_space_group_name_H-M_alt 'P 1 21/m 1'
_space_group_IT_number 11
_space_group_name_Hall '-P 2yb'
_cell_length_a 7.961
_cell_length_b 4.611
_cell_length_c 9.233
_cell_angle_alpha 90.00
_cell_angle_beta 114.59
_cell_angle_gamma 90.00
loop_
_atom_site_label
_atom_site_type_symbol
_atom_site_fract_x
_atom_site_fract_y
_atom_site_fract_z
_atom_site_occupancy
Cu1 Cu 0.159 0.250 0.094 1
Bi1 Bi 0.237 0.750 0.429 1
S1 S 0.132 0.750 0.095 1
S2 S 0.375 0.250 0.346 1
I1 I 0.208 0.250 0.689 1
```